1.
# P2RhSCl | the Alexandria database | GGA-PBEsol | optimized geometry
# Size of the total moment (μB/cell): 0.00
# DOS at the Fermi energy (states/eV/f.u.): 4.76
# Raw formation energy (eV/atom): 1.4442
# ΔE to the lowest computed polymorph (eV per formula unit): 1.774
# Energy (eV/atom): -3.7784
data_P2RhSCl
_chemical_formula_sum 'P2 Rh1 S1 Cl1'
_cell_length_a 4.405
_cell_length_b 4.405
_cell_length_c 4.382
_cell_angle_alpha 90.00
_cell_angle_beta 90.00
_cell_angle_gamma 90.00
_symmetry_space_group_name_H-M 'P 4/m m m'
_symmetry_Int_Tables_number 123
_symmetry_space_group_name_Hall '-P 4 2'
loop_
_atom_site_label
_atom_site_type_symbol
_atom_site_fract_x
_atom_site_fract_y
_atom_site_fract_z
_atom_site_occupancy
P1 P 0.000 0.500 0.000 1
Rh1 Rh 0.000 0.000 0.500 1
S1 S 0.500 0.500 0.500 1
Cl1 Cl 0.500 0.500 0.000 1

---

2.
# SbPRhCl2 | the Alexandria database | GGA-PBEsol | optimized geometry
# Size of the total moment (μB/cell): 1.82
# DOS at the Fermi energy (states/eV/f.u.): 8.86
# Raw formation energy (eV/atom): 0.9666
# Energy (eV/atom): -3.5340
data_SbPRhCl2
_chemical_formula_sum 'Sb1 P1 Rh1 Cl2'
_cell_length_a 4.980
_cell_length_b 4.980
_cell_length_c 5.229
_cell_angle_alpha 90.00
_cell_angle_beta 90.00
_cell_angle_gamma 90.00
_symmetry_space_group_name_H-M 'P 4/m m m'
_symmetry_Int_Tables_number 123
_symmetry_space_group_name_Hall '-P 4 2'
loop_
_atom_site_label
_atom_site_type_symbol
_atom_site_fract_x
_atom_site_fract_y
_atom_site_fract_z
_atom_site_occupancy
Sb1 Sb 0.000 0.000 0.000 1
P1 P 0.000 0.000 0.500 1
Rh1 Rh 0.500 0.500 0.500 1
Cl1 Cl 0.000 0.500 0.000 1

---

3.
# TaP2RhCl | the Alexandria database | GGA-PBEsol | optimized geometry
# Size of the total moment (μB/cell): 1.23
# DOS at the Fermi energy (states/eV/f.u.): 7.28
# Raw formation energy (eV/atom): 0.7224
# Energy (eV/atom): -6.1336
data_TaP2RhCl
_chemical_formula_sum 'Ta1 P2 Rh1 Cl1'
_cell_length_a 4.774
_cell_length_b 4.774
_cell_length_c 4.581
_cell_angle_alpha 90.00
_cell_angle_beta 90.00
_cell_angle_gamma 90.00
_symmetry_space_group_name_H-M 'P 4/m m m'
_symmetry_Int_Tables_number 123
_symmetry_space_group_name_Hall '-P 4 2'
loop_
_atom_site_label
_atom_site_type_symbol
_atom_site_fract_x
_atom_site_fract_y
_atom_site_fract_z
_atom_site_occupancy
Ta1 Ta 0.000 0.000 0.000 1
P1 P 0.000 0.500 0.000 1
Rh1 Rh 0.500 0.500 0.500 1
Cl1 Cl 0.000 0.000 0.500 1

---

4.
# TiPRhCl2 | the Alexandria database | GGA-PBEsol | optimized geometry
# Size of the total moment (μB/cell): 2.05
# DOS at the Fermi energy (states/eV/f.u.): 9.14
# Raw formation energy (eV/atom): 0.1920
# ΔE to the lowest computed polymorph (eV per formula unit): 0.000
# Energy (eV/atom): -5.0616
data_TiPRhCl2
_chemical_formula_sum 'Ti1 P1 Rh1 Cl2'
_cell_length_a 4.485
_cell_length_b 4.485
_cell_length_c 4.970
_cell_angle_alpha 90.00
_cell_angle_beta 90.00
_cell_angle_gamma 90.00
_symmetry_space_group_name_H-M 'P 4/m m m'
_symmetry_Int_Tables_number 123
_symmetry_space_group_name_Hall '-P 4 2'
loop_
_atom_site_label
_atom_site_type_symbol
_atom_site_fract_x
_atom_site_fract_y
_atom_site_fract_z
_atom_site_occupancy
Ti1 Ti 0.000 0.000 0.000 1
P1 P 0.000 0.000 0.500 1
Rh1 Rh 0.500 0.500 0.500 1
Cl1 Cl 0.000 0.500 0.000 1

---

5.
# TiPRhCl2 | the Alexandria database | GGA-PBEsol | optimized geometry
# Size of the total moment (μB/cell): 1.99
# DOS at the Fermi energy (states/eV/f.u.): 7.58
# Raw formation energy (eV/atom): 0.2456
# ΔE to the lowest computed polymorph (eV per formula unit): 0.268
# Energy (eV/atom): -5.0080
data_TiPRhCl2
_chemical_formula_sum 'Ti1 P1 Rh1 Cl2'
_cell_length_a 4.720
_cell_length_b 4.720
_cell_length_c 4.490
_cell_angle_alpha 90.00
_cell_angle_beta 90.00
_cell_angle_gamma 90.00
_symmetry_space_group_name_H-M 'P 4/m m m'
_symmetry_Int_Tables_number 123
_symmetry_space_group_name_Hall '-P 4 2'
loop_
_atom_site_label
_atom_site_type_symbol
_atom_site_fract_x
_atom_site_fract_y
_atom_site_fract_z
_atom_site_occupancy
Ti1 Ti 0.000 0.000 0.000 1
P1 P 0.500 0.500 0.000 1
Rh1 Rh 0.500 0.500 0.500 1
Cl1 Cl 0.000 0.500 0.500 1

---

6.
# TlPRhCl2 | the Alexandria database | GGA-PBEsol | optimized geometry
# Size of the total moment (μB/cell): 2.97
# DOS at the Fermi energy (states/eV/f.u.): 11.13
# Raw formation energy (eV/atom): 1.1133
# Energy (eV/atom): -3.0019
data_TlPRhCl2
_chemical_formula_sum 'Tl1 P1 Rh1 Cl2'
_cell_length_a 5.138
_cell_length_b 5.138
_cell_length_c 5.137
_cell_angle_alpha 90.00
_cell_angle_beta 90.00
_cell_angle_gamma 90.00
_symmetry_space_group_name_H-M 'P 4/m m m'
_symmetry_Int_Tables_number 123
_symmetry_space_group_name_Hall '-P 4 2'
loop_
_atom_site_label
_atom_site_type_symbol
_atom_site_fract_x
_atom_site_fract_y
_atom_site_fract_z
_atom_site_occupancy
Tl1 Tl 0.000 0.000 0.000 1
P1 P 0.000 0.000 0.500 1
Rh1 Rh 0.500 0.500 0.500 1
Cl1 Cl 0.000 0.500 0.000 1

---

7.
# P2RuCl | the Alexandria database | GGA-PBEsol | optimized geometry
# Size of the total moment (μB/cell): 0.00
# DOS at the Fermi energy (states/eV/f.u.): 1.97
# Raw formation energy (eV/atom): 0.5776
# Energy (eV/atom): -5.3632
data_P2RuCl
_chemical_formula_sum 'P2 Ru1 Cl1'
_cell_length_a 2.956
_cell_length_b 4.145
_cell_length_c 4.521
_cell_angle_alpha 90.00
_cell_angle_beta 90.00
_cell_angle_gamma 90.00
_symmetry_space_group_name_H-M 'P m m m'
_symmetry_Int_Tables_number 47
_symmetry_space_group_name_Hall '-P 2 2'
loop_
_atom_site_label
_atom_site_type_symbol
_atom_site_fract_x
_atom_site_fract_y
_atom_site_fract_z
_atom_site_occupancy
P1 P 0.000 0.000 0.000 1
P2 P 0.500 0.500 0.000 1
Ru1 Ru 0.000 0.500 0.500 1
Cl1 Cl 0.500 0.000 0.500 1

---

8.
# PRuCl2 | the Alexandria database | GGA-PBEsol | optimized geometry
# Size of the total moment (μB/cell): 0.00
# DOS at the Fermi energy (states/eV/f.u.): 2.42
# Raw formation energy (eV/atom): 0.1112
# ΔE to the lowest computed polymorph (eV per formula unit): 1.445
# Energy (eV/atom): -4.8837
data_PRuCl2
_chemical_formula_sum 'P2 Ru2 Cl4'
_cell_length_a 2.984
_cell_length_b 4.421
_cell_length_c 10.758
_cell_angle_alpha 90.00
_cell_angle_beta 90.00
_cell_angle_gamma 90.00
_symmetry_space_group_name_H-M 'I m m 2'
_symmetry_Int_Tables_number 44
_symmetry_space_group_name_Hall 'I 2 -2'
loop_
_atom_site_label
_atom_site_type_symbol
_atom_site_fract_x
_atom_site_fract_y
_atom_site_fract_z
_atom_site_occupancy
P1 P 0.000 0.000 0.000 1
Ru1 Ru 0.000 0.500 0.344 1
Cl1 Cl 0.000 0.000 0.640 1
Cl2 Cl 0.000 0.500 0.846 1

---

9.
# PRu2Cl | the Alexandria database | GGA-PBEsol | optimized geometry
# Size of the total moment (μB/cell): 0.00
# DOS at the Fermi energy (states/eV/f.u.): 4.14
# Raw formation energy (eV/atom): 0.3922
# ΔE to the lowest computed polymorph (eV per formula unit): 0.000
# Energy (eV/atom): -6.6439
data_PRu2Cl
_chemical_formula_sum 'P2 Ru4 Cl2'
_cell_length_a 2.760
_cell_length_b 4.920
_cell_length_c 9.193
_cell_angle_alpha 90.00
_cell_angle_beta 90.00
_cell_angle_gamma 90.00
_symmetry_space_group_name_H-M 'C m m 2'
_symmetry_Int_Tables_number 35
_symmetry_space_group_name_Hall 'C 2 -2'
loop_
_atom_site_label
_atom_site_type_symbol
_atom_site_fract_x
_atom_site_fract_y
_atom_site_fract_z
_atom_site_occupancy
P1 P 0.000 0.000 0.000 1
Ru1 Ru 0.000 0.000 0.450 1
Ru2 Ru 0.000 0.500 0.200 1
Cl1 Cl 0.000 0.500 0.656 1

---

10.
# PRuCl2 | the Alexandria database | GGA-PBEsol | optimized geometry
# Size of the total moment (μB/cell): 0.00
# DOS at the Fermi energy (states/eV/f.u.): 1.89
# Raw formation energy (eV/atom): -0.2500
# ΔE to the lowest computed polymorph (eV per formula unit): 0.000
# Energy (eV/atom): -5.2449
data_PRuCl2
_chemical_formula_sum 'P1 Ru1 Cl2'
_cell_length_a 4.637
_cell_length_b 3.407
_cell_length_c 5.003
_cell_angle_alpha 90.00
_cell_angle_beta 114.88
_cell_angle_gamma 90.00
_symmetry_space_group_name_H-M 'P 1 m 1'
_symmetry_Int_Tables_number 6
_symmetry_space_group_name_Hall 'P -2y'
loop_
_atom_site_label
_atom_site_type_symbol
_atom_site_fract_x
_atom_site_fract_y
_atom_site_fract_z
_atom_site_occupancy
P1 P 0.000 0.000 0.000 1
Ru1 Ru 0.869 0.500 0.699 1
Cl1 Cl 0.326 0.500 0.601 1
Cl2 Cl 0.662 0.000 0.248 1

---

raw formation energy of number 6 (TlPRhCl2)?
1.1133 eV/atom

---

What is the raw formation energy in the first record?
1.4442 eV/atom